# Cd3GaAg3

A relaxed structure of Cd3GaAg3 (GGA-PBE, Alexandria via LeMat-Bulk).

abc: 6.5536 6.5536 6.5555
angles: 89.99 89.99 88.46
Fractional coordinates of all 14 atoms:
Cd  0.2740  0.7260  0.5000
Cd  0.3233  0.6767  0.0000
Cd  0.7437  0.7437  0.5007
Cd  0.2563  0.2563  0.4993
Cd  0.7260  0.2740  0.5000
Cd  0.6767  0.3233  0.0000
Ga  0.7568  0.7568  0.9992
Ga  0.2432  0.2432  0.0008
Ag  0.0004  0.0004  0.7699
Ag  0.9996  0.5006  0.2355
Ag  0.4994  0.0004  0.7645
Ag  0.0004  0.4994  0.7645
Ag  0.5006  0.9996  0.2355
Ag  0.9996  0.9996  0.2301

Space-group type: No. 12
Energy above the lowest structure with this stoichiometry (eV/atom): 0.000
ΔH_f (0 K) (eV/atom): -0.01

# SmAl2Au

A relaxed structure of SmAl2Au (GGA-PBE, Alexandria via LeMat-Bulk).

abc: 4.3589 4.3516 4.3516
angles: 90.00 90.00 90.00
Fractional coordinates of all 4 atoms:
Al  0.0000  0.0000  0.5000
Al  0.0000  0.5000  0.0000
Sm  0.5000  0.5000  0.5000
Au  0.5000  0.0000  0.0000

Space-group type: No. 123
ΔH_f (0 K) (eV/atom): -0.47

# MnZnPtS2

A relaxed structure of MnZnPtS2 (GGA-PBE, Alexandria via LeMat-Bulk).

abc: 4.3117 5.0219 4.3117
angles: 90.00 90.00 90.00
Last column: magnetic moment on the atom in μB.
Fractional coordinates of all 5 atoms:
Pt  0.0000  0.5000  0.0000  0.19
S  0.0000  0.0000  0.5000  -0.01
S  0.5000  0.0000  0.0000  0.02
Zn  0.5000  0.5000  0.5000  0.01
Mn  0.0000  0.0000  0.0000  2.30

Space-group type: No. 123
Formation energy (no corrections) (meV per atom): 345

# NdThZnPt

A relaxed structure of NdThZnPt (GGA-PBE, Alexandria via LeMat-Bulk).

abc: 5.1557 5.1557 5.1557
angles: 60.00 60.00 60.00
Fractional coordinates of all 4 atoms:
Nd  0.7500  0.7500  0.7500
Th  0.2500  0.2500  0.2500
Pt  0.5000  0.5000  0.5000
Zn  0.0000  0.0000  0.0000

Space-group type: No. 216
ΔH_f (0 K) (eV/atom): -0.59

# HgSb2Ru

A relaxed structure of HgSb2Ru (GGA-PBE, Alexandria via LeMat-Bulk).

abc: 4.0273 4.0273 8.5805
angles: 95.11 95.11 47.93
Fractional coordinates of all 4 atoms:
Sb  0.5722  0.5722  0.4283
Sb  0.9278  0.9278  0.0717
Hg  0.7500  0.7500  0.7500
Ru  0.2500  0.2500  0.2500

Space-group type: No. 12
Formation energy (no corrections) (meV per atom): 43

# AcLaTePt

A relaxed structure of AcLaTePt (GGA-PBE, Alexandria via LeMat-Bulk).

abc: 4.3944 4.3946 8.3709
angles: 90.00 105.21 120.00
Fractional coordinates of all 4 atoms:
Pt  0.3106  0.5533  0.8793
Te  0.9600  0.3780  0.3530
Ac  0.4969  0.1464  0.6587
La  0.1103  0.9531  0.0787

Space-group type: No. 160
Formation energy (no corrections) (meV per atom): -1337

Q: Which calculated volume values were calculated for the entries above? A: 281.5, 82.5, 93.4, 96.9, 102.8, 133.4, in Å³ per cell.
Q: Which E values were calculated for the entries above? A: -2.05, -4.34, -4.60, -5.47, -4.41, -5.89, in eV per atom.